SrYMn2 | SCAN | PBEsol geometry

CIF file:
```
data_SrYMn2
_chemical_formula_sum 'Sr1 Y1 Mn2'
_cell_length_a 3.6827
_cell_length_b 3.6827
_cell_length_c 7.2461
_cell_angle_alpha 90.00
_cell_angle_beta 90.00
_cell_angle_gamma 90.00
_space_group_name_H-M_alt 'P 4/m m m'
_space_group_IT_number 123
_space_group_name_Hall '-P 4 2'
loop_
_atom_site_label
_atom_site_type_symbol
_atom_site_fract_x
_atom_site_fract_y
_atom_site_fract_z
Sr1 Sr 0.0000 0.0000 0.0000
Y1 Y 0.0000 0.0000 0.5000
Mn1 Mn 0.5000 0.5000 0.3112
```

Calculated values
**Calculated density**: 4.8 Mg/m³
**Size of the total moment**: 7.44 μB per cell
**Energy of formation from the pure elements**: 0.126 eV per atom

=====

Sr2YMn | SCAN | PBEsol geometry

CIF file:
```
data_Sr2YMn
_chemical_formula_sum 'Sr2 Y1 Mn1'
_cell_length_a 3.7980
_cell_length_b 3.7980
_cell_length_c 9.2164
_cell_angle_alpha 90.00
_cell_angle_beta 90.00
_cell_angle_gamma 90.00
_space_group_name_H-M_alt 'P 4/m m m'
_space_group_IT_number 123
_space_group_name_Hall '-P 4 2'
loop_
_atom_site_label
_atom_site_type_symbol
_atom_site_fract_x
_atom_site_fract_y
_atom_site_fract_z
Sr1 Sr 0.0000 0.0000 0.2050
Y1 Y 0.5000 0.5000 0.5000
Mn1 Mn 0.5000 0.5000 0.0000
```

Calculated values
**Calculated density**: 4.0 Mg/m³
**Size of the total moment**: 4.35 μB per cell
**Energy of formation from the pure elements**: 0.283 eV per atom

=====

SrMn2Zn | SCAN | PBEsol geometry

CIF file:
```
data_SrMn2Zn
_chemical_formula_sum 'Sr4 Mn8 Zn4'
_cell_length_a 6.8522
_cell_length_b 6.8522
_cell_length_c 6.8522
_cell_angle_alpha 90.00
_cell_angle_beta 90.00
_cell_angle_gamma 90.00
_space_group_name_H-M_alt 'F -4 3 m'
_space_group_IT_number 216
_space_group_name_Hall 'F -4 2 3'
loop_
_atom_site_label
_atom_site_type_symbol
_atom_site_fract_x
_atom_site_fract_y
_atom_site_fract_z
Sr1 Sr 0.0000 0.0000 0.0000
Mn1 Mn 0.0000 0.0000 0.5000
Mn2 Mn 0.2500 0.2500 0.2500
Zn1 Zn 0.2500 0.2500 0.7500
```

Calculated values
**Calculated density**: 5.4 Mg/m³
**Size of the total moment**: 33.97 μB per cell
**Energy of formation from the pure elements**: 0.273 eV per atom

=====

SrMn2Zn | SCAN | PBEsol geometry

CIF file:
```
data_SrMn2Zn
_chemical_formula_sum 'Sr2 Mn4 Zn2'
_cell_length_a 4.7856
_cell_length_b 4.7856
_cell_length_c 6.6918
_cell_angle_alpha 90.00
_cell_angle_beta 90.00
_cell_angle_gamma 90.00
_space_group_name_H-M_alt 'I 4/m m m'
_space_group_IT_number 139
_space_group_name_Hall '-I 4 2'
loop_
_atom_site_label
_atom_site_type_symbol
_atom_site_fract_x
_atom_site_fract_y
_atom_site_fract_z
Sr1 Sr 0.0000 0.0000 0.0000
Mn1 Mn 0.0000 0.5000 0.2500
Zn1 Zn 0.0000 0.0000 0.5000
```

Calculated values
**Calculated density**: 5.7 Mg/m³
**Size of the total moment**: 17.34 μB per cell
**Energy of formation from the pure elements**: 0.353 eV per atom

=====

Sr2ZrMn | SCAN | PBEsol geometry

CIF file:
```
data_Sr2ZrMn
_chemical_formula_sum 'Sr4 Zr2 Mn2'
_cell_length_a 3.5765
_cell_length_b 5.8739
_cell_length_c 11.1269
_cell_angle_alpha 90.00
_cell_angle_beta 90.00
_cell_angle_gamma 90.00
_space_group_name_H-M_alt 'I m m 2'
_space_group_IT_number 44
loop_
_space_group_symop_operation_xyz
'x,y,z'
'-x,-y,z'
'-x,y,z'
'x,-y,z'
'x+1/2,y+1/2,z+1/2'
'-x+1/2,-y+1/2,z+1/2'
'-x+1/2,y+1/2,z+1/2'
'x+1/2,-y+1/2,z+1/2'
loop_
_atom_site_label
_atom_site_type_symbol
_atom_site_fract_x
_atom_site_fract_y
_atom_site_fract_z
Sr1 Sr 0.0000 0.0000 0.0000
Sr2 Sr 0.0000 0.5000 0.1948
Zr1 Zr 0.0000 0.5000 0.8039
Mn1 Mn 0.0000 0.0000 0.4577
```

Calculated values
**Calculated density**: 4.6 Mg/m³
**Size of the total moment**: 2.27 μB per cell
**Energy of formation from the pure elements**: 0.406 eV per atom

=====

SrZrMn2 | SCAN | PBEsol geometry

CIF file:
```
data_SrZrMn2
_chemical_formula_sum 'Sr1 Zr1 Mn2'
_cell_length_a 3.5249
_cell_length_b 3.5249
_cell_length_c 6.7663
_cell_angle_alpha 90.00
_cell_angle_beta 90.00
_cell_angle_gamma 90.00
_space_group_name_H-M_alt 'P 4/m m m'
_space_group_IT_number 123
_space_group_name_Hall '-P 4 2'
loop_
_atom_site_label
_atom_site_type_symbol
_atom_site_fract_x
_atom_site_fract_y
_atom_site_fract_z
Sr1 Sr 0.0000 0.0000 0.0000
Zr1 Zr 0.0000 0.0000 0.5000
Mn1 Mn 0.5000 0.5000 0.3524
```

Calculated values
**Calculated density**: 5.7 Mg/m³
**Size of the total moment**: 0.00 μB per cell
**Energy of formation from the pure elements**: 0.575 eV per atom

=====

SrZrMn2 | SCAN | PBEsol geometry

CIF file:
```
data_SrZrMn2
_chemical_formula_sum 'Sr4 Zr4 Mn8'
_cell_length_a 6.8376
_cell_length_b 6.8376
_cell_length_c 6.8376
_cell_angle_alpha 90.00
_cell_angle_beta 90.00
_cell_angle_gamma 90.00
_space_group_name_H-M_alt 'F -4 3 m'
_space_group_IT_number 216
_space_group_name_Hall 'F -4 2 3'
loop_
_atom_site_label
_atom_site_type_symbol
_atom_site_fract_x
_atom_site_fract_y
_atom_site_fract_z
Sr1 Sr 0.0000 0.0000 0.0000
Zr1 Zr 0.2500 0.2500 0.7500
Mn1 Mn 0.0000 0.0000 0.5000
Mn2 Mn 0.2500 0.2500 0.2500
```

Calculated values
**Calculated density**: 6.0 Mg/m³
**Size of the total moment**: 28.68 μB per cell
**Energy of formation from the pure elements**: 0.486 eV per atom

=====

Sr2ZrMn | SCAN | PBEsol geometry

CIF file:
```
data_Sr2ZrMn
_chemical_formula_sum 'Sr2 Zr1 Mn1'
_cell_length_a 4.6603
_cell_length_b 4.6603
_cell_length_c 5.2134
_cell_angle_alpha 90.00
_cell_angle_beta 90.00
_cell_angle_gamma 90.00
_space_group_name_H-M_alt 'P 4/m m m'
_space_group_IT_number 123
_space_group_name_Hall '-P 4 2'
loop_
_atom_site_label
_atom_site_type_symbol
_atom_site_fract_x
_atom_site_fract_y
_atom_site_fract_z
Sr1 Sr 0.0000 0.5000 0.0000
Zr1 Zr 0.0000 0.0000 0.5000
Mn1 Mn 0.5000 0.5000 0.5000
```

Calculated values
**Calculated density**: 4.7 Mg/m³
**Size of the total moment**: 2.00 μB per cell
**Energy of formation from the pure elements**: 0.584 eV per atom